{
  "formula": "YHo2Sb",
  "functional": "PBE-GGA",
  "state": "relaxed",
  "lattice_angstrom": [[2.066, -6.079, 0.000], [2.066, 6.079, 0.000], [0.000, 0.000, 9.498]],
  "species": ["Y", "Y", "Ho", "Ho", "Ho", "Ho", "Sb", "Sb"],
  "fractional_positions": [[0.059, 0.941, 0.750], [0.941, 0.059, 0.250], [0.363, 0.637, 0.548], [0.363, 0.637, 0.952], [0.637, 0.363, 0.048], [0.637, 0.363, 0.452], [0.241, 0.759, 0.250], [0.759, 0.241, 0.750]],
  "final_energy_ev_per_atom": -5.499,
  "formation_energy_uncorrected_ev_per_atom": -0.56,
  "mass_density_g_cm3": 7.5,
  "volume_a3_per_atom": 29.815,
  "spacegroup": "Cmcm (63)",
  "e_above_lowest_polymorph_ev_per_fu": 0.00
}

=====

{
  "formula": "CaTh3Bi4",
  "functional": "PBE-GGA",
  "state": "relaxed",
  "lattice_angstrom": [[4.606, -6.504, 0.000], [4.606, 6.504, 0.000], [0.000, 0.000, 4.598]],
  "species": ["Ca", "Th", "Th", "Th", "Bi", "Bi", "Bi", "Bi"],
  "fractional_positions": [[0.000, 0.000, 0.000], [0.000, 0.500, 0.500], [0.500, 0.000, 0.500], [0.500, 0.500, 0.000], [0.248, 0.752, 0.000], [0.249, 0.249, 0.500], [0.751, 0.751, 0.500], [0.752, 0.248, 0.000]],
  "final_energy_ev_per_atom": -5.633,
  "e_form_mev_per_atom": -660,
  "mass_density_g_cm3": 9.5,
  "volume_a3_per_atom": 34.436,
  "spacegroup": "Cmmm (65)"
}

=====

{
  "formula": "LiNi6Ir",
  "functional": "PBE-GGA",
  "state": "relaxed",
  "lattice_angstrom": [[0.000, 3.570, 5.071], [2.524, 0.000, 5.071], [2.524, 3.570, 0.000]],
  "species": ["Li", "Ni", "Ni", "Ni", "Ni", "Ni", "Ni", "Ir"],
  "fractional_positions": [[0.000, 0.000, 0.000], [0.128, 0.128, 0.372], [0.253, 0.253, 0.747], [0.372, 0.372, 0.128], [0.628, 0.628, 0.872], [0.747, 0.747, 0.253], [0.872, 0.872, 0.628], [0.500, 0.500, 0.500]],
  "final_energy_ev_per_atom": -5.700,
  "e_form_mev_per_atom": -17,
  "mass_density_g_cm3": 10.0,
  "volume_a3_per_atom": 11.423,
  "spacegroup": "Fmmm (69)",
  "e_above_lowest_polymorph_ev_per_fu": 0.00
}

=====

{
  "formula": "LaBS3",
  "functional": "PBE-GGA",
  "state": "relaxed",
  "lattice_angstrom": [[5.391, 0.000, 0.000], [0.000, 6.178, 0.000], [-2.290, 0.000, 6.661]],
  "species": ["La", "La", "B", "B", "S", "S", "S", "S", "S", "S"],
  "fractional_positions": [[0.150, 0.250, 0.294], [0.850, 0.750, 0.706], [0.213, 0.250, 0.759], [0.787, 0.750, 0.241], [0.066, 0.750, 0.151], [0.318, 0.506, 0.685], [0.318, 0.994, 0.685], [0.682, 0.006, 0.315], [0.682, 0.494, 0.315], [0.934, 0.250, 0.849]],
  "final_energy_ev_per_atom": -6.083,
  "formation_energy_uncorrected_ev_per_atom": -1.29,
  "mass_density_g_cm3": 3.7,
  "volume_a3_per_atom": 22.184,
  "spacegroup": "P2_1/m (11)",
  "e_above_lowest_polymorph_ev_per_fu": 0.00
}

=====

{
  "formula": "CuSiB",
  "functional": "PBE-GGA",
  "state": "relaxed",
  "lattice_angstrom": [[2.731, 0.000, 0.000], [0.000, 2.731, 0.000], [0.000, 0.000, 8.598]],
  "species": ["Cu", "Cu", "Si", "Si", "B", "B"],
  "fractional_positions": [[0.250, 0.250, 0.104], [0.750, 0.750, 0.896], [0.250, 0.250, 0.696], [0.750, 0.750, 0.304], [0.250, 0.750, 0.500], [0.750, 0.250, 0.500]],
  "final_energy_ev_per_atom": -4.972,
  "formation_energy_uncorrected_ev_per_atom": 0.43,
  "mass_density_g_cm3": 5.3,
  "volume_a3_per_atom": 10.686,
  "spacegroup": "P4/nmm (129)"
}

=====

{
  "formula": "Pm2PrSm12",
  "functional": "PBE-GGA",
  "state": "relaxed",
  "lattice_angstrom": [[3.582, -5.784, 0.000], [3.582, 5.784, 0.000], [0.000, 0.000, 25.075]],
  "species": ["Pm", "Pm", "Pm", "Pm", "Pr", "Pr", "Sm", "Sm", "Sm", "Sm", "Sm", "Sm", "Sm", "Sm", "Sm", "Sm", "Sm", "Sm", "Sm", "Sm", "Sm", "Sm", "Sm", "Sm", "Sm", "Sm", "Sm", "Sm", "Sm", "Sm"],
  "fractional_positions": [[0.250, 0.750, 0.233], [0.250, 0.750, 0.774], [0.750, 0.250, 0.226], [0.750, 0.250, 0.767], [0.250, 0.750, 0.501], [0.750, 0.250, 0.499], [0.002, 0.502, 0.630], [0.002, 0.998, 0.423], [0.019, 0.519, 0.083], [0.023, 0.977, 0.940], [0.250, 0.250, 0.173], [0.250, 0.250, 0.300], [0.250, 0.250, 0.700], [0.250, 0.250, 0.827], [0.477, 0.523, 0.940], [0.481, 0.981, 0.083], [0.498, 0.502, 0.423], [0.498, 0.998, 0.630], [0.502, 0.002, 0.370], [0.502, 0.498, 0.577], [0.519, 0.019, 0.917], [0.523, 0.477, 0.060], [0.750, 0.750, 0.173], [0.750, 0.750, 0.300], [0.750, 0.750, 0.700], [0.750, 0.750, 0.827], [0.977, 0.023, 0.060], [0.981, 0.481, 0.917], [0.998, 0.002, 0.577], [0.998, 0.498, 0.370]],
  "final_energy_ev_per_atom": -4.574,
  "e_form_mev_per_atom": 154,
  "mass_density_g_cm3": 7.1,
  "volume_a3_per_atom": 34.636,
  "spacegroup": "Cmme (67)"
}

=====

{
  "formula": "TeIrI3",
  "functional": "PBE-GGA",
  "state": "relaxed",
  "lattice_angstrom": [[5.387, 0.000, 0.000], [0.000, 5.387, 0.000], [0.000, 0.000, 5.387]],
  "species": ["Te", "Ir", "I", "I", "I"],
  "fractional_positions": [[0.000, 0.000, 0.000], [0.500, 0.500, 0.500], [0.000, 0.500, 0.500], [0.500, 0.000, 0.500], [0.500, 0.500, 0.000]],
  "final_energy_ev_per_atom": -2.845,
  "formation_energy_uncorrected_ev_per_atom": 0.49,
  "mass_density_g_cm3": 7.4,
  "volume_a3_per_atom": 31.268,
  "spacegroup": "Pm-3m (221)",
  "e_above_lowest_polymorph_ev_per_fu": 0.00
}

=====

{
  "formula": "SmGa6Pt12",
  "functional": "PBE-GGA",
  "state": "relaxed",
  "lattice_angstrom": [[5.832, 3.367, 2.782], [-5.832, 3.367, 2.782], [0.000, -6.734, 2.782]],
  "species": ["Sm", "Ga", "Ga", "Ga", "Ga", "Ga", "Ga", "Pt", "Pt", "Pt", "Pt", "Pt", "Pt", "Pt", "Pt", "Pt", "Pt", "Pt", "Pt"],
  "fractional_positions": [[0.000, 0.000, 0.000], [0.273, 0.273, 0.699], [0.273, 0.699, 0.273], [0.301, 0.727, 0.727], [0.699, 0.273, 0.273], [0.727, 0.301, 0.727], [0.727, 0.727, 0.301], [0.124, 0.500, 0.876], [0.124, 0.876, 0.500], [0.149, 0.388, 0.388], [0.388, 0.149, 0.388], [0.388, 0.388, 0.149], [0.500, 0.124, 0.876], [0.500, 0.876, 0.124], [0.612, 0.612, 0.851], [0.612, 0.851, 0.612], [0.851, 0.612, 0.612], [0.876, 0.124, 0.500], [0.876, 0.500, 0.124]],
  "final_energy_ev_per_atom": -5.587,
  "e_form_mev_per_atom": -567,
  "mass_density_g_cm3": 14.7,
  "volume_a3_per_atom": 17.248,
  "spacegroup": "R-3m (166)"
}

=====

{
  "formula": "CuSn2Au6",
  "functional": "PBE-GGA",
  "state": "relaxed",
  "lattice_angstrom": [[8.892, 0.000, 0.000], [0.000, 9.634, 0.000], [0.000, 0.000, 3.985]],
  "species": ["Cu", "Cu", "Sn", "Sn", "Sn", "Sn", "Au", "Au", "Au", "Au", "Au", "Au", "Au", "Au", "Au", "Au", "Au", "Au"],
  "fractional_positions": [[0.000, 0.000, 0.000], [0.500, 0.500, 0.500], [0.177, 0.168, 0.500], [0.323, 0.668, 0.000], [0.677, 0.332, 0.000], [0.823, 0.832, 0.500], [0.006, 0.332, 0.000], [0.143, 0.853, 0.500], [0.170, 0.497, 0.500], [0.330, 0.997, 0.000], [0.357, 0.353, 0.000], [0.494, 0.832, 0.500], [0.506, 0.168, 0.500], [0.643, 0.647, 0.000], [0.670, 0.003, 0.000], [0.830, 0.503, 0.500], [0.857, 0.147, 0.500], [0.994, 0.668, 0.000]],
  "final_energy_ev_per_atom": -3.553,
  "e_form_mev_per_atom": -24,
  "mass_density_g_cm3": 14.4,
  "volume_a3_per_atom": 18.967,
  "spacegroup": "Pnnm (58)",
  "e_above_lowest_polymorph_ev_per_fu": 0.00
}

=====

{
  "formula": "NiHgW2",
  "functional": "PBE-GGA",
  "state": "relaxed",
  "lattice_angstrom": [[2.750, 0.000, 0.000], [0.000, 4.194, 0.000], [-0.491, 0.000, 5.535]],
  "species": ["Ni", "Hg", "W", "W"],
  "fractional_positions": [[0.000, 0.000, 0.000], [0.000, 0.000, 0.500], [0.456, 0.500, 0.221], [0.544, 0.500, 0.779]],
  "final_energy_ev_per_atom": -7.453,
  "e_form_mev_per_atom": 545,
  "mass_density_g_cm3": 16.3,
  "volume_a3_per_atom": 15.961,
  "spacegroup": "P2/m (10)"
}

=====

{
  "formula": "Pr7Ho2Sc",
  "functional": "PBE-GGA",
  "state": "relaxed",
  "lattice_angstrom": [[4.460, -8.515, 0.000], [4.460, 8.515, 0.000], [0.000, 0.000, 5.443]],
  "species": ["Pr", "Pr", "Pr", "Pr", "Pr", "Pr", "Pr", "Ho", "Ho", "Sc"],
  "fractional_positions": [[0.000, 0.000, 0.000], [0.212, 0.429, 0.000], [0.298, 0.702, 0.500], [0.429, 0.212, 0.000], [0.571, 0.788, 0.000], [0.702, 0.298, 0.500], [0.788, 0.571, 0.000], [0.205, 0.795, 0.000], [0.795, 0.205, 0.000], [0.500, 0.500, 0.500]],
  "final_energy_ev_per_atom": -4.250,
  "e_form_mev_per_atom": 644,
  "mass_density_g_cm3": 5.5,
  "volume_a3_per_atom": 41.342,
  "spacegroup": "Cmmm (65)"
}

=====

{
  "formula": "LaTlSe4",
  "functional": "PBE-GGA",
  "state": "relaxed",
  "lattice_angstrom": [[0.000, 4.215, 4.215], [4.215, 0.000, 4.215], [4.215, 4.215, 0.000]],
  "species": ["La", "Tl", "Se", "Se", "Se", "Se"],
  "fractional_positions": [[0.000, 0.000, 0.000], [0.250, 0.250, 0.250], [0.124, 0.625, 0.625], [0.625, 0.124, 0.625], [0.625, 0.625, 0.124], [0.625, 0.625, 0.625]],
  "final_energy_ev_per_atom": -3.869,
  "formation_energy_uncorrected_ev_per_atom": -0.33,
  "mass_density_g_cm3": 7.3,
  "volume_a3_per_atom": 24.967,
  "spacegroup": "F-43m (216)"
}